[1]
Material: NbSeI2N
Method: DFT, GGA-PBE
State: optimized geometry

POSCAR file:
```
NbSeI2N
1.0
5.931 0.000 0.000
0.000 5.931 0.000
0.000 0.000 3.697
Nb Se I N
1 1 2 1
Direct
0.000 0.000 0.000
0.500 0.500 0.500
0.000 0.500 0.500
0.500 0.000 0.500
0.500 0.500 0.000
```

Values from the calculation:
Uncorrected formation energy (eV per atom): 1.24
Energy above the most stable polymorph in this dataset (eV/atom): 0.889
Theoretical density (Mg/m³): 5.61
SG: P4/mmm, No. 123

***

[2]
Material: AsSN2
Method: DFT, GGA-PBE
State: optimized geometry

POSCAR file:
```
AsSN2
1.0
1.453 0.839 6.386
-1.453 0.839 6.386
0.000 -1.678 6.386
As S N
1 1 2
Direct
0.000 0.000 0.000
0.500 0.500 0.500
0.112 0.112 0.112
0.888 0.888 0.888
```

Values from the calculation:
Uncorrected formation energy (eV per atom): 1.22
Energy above the most stable polymorph in this dataset (eV/atom): 1.101
Theoretical density (Mg/m³): 4.80
SG: R-3m, No. 166

***

[3]
Material: CaAuBr2
Method: DFT, GGA-PBE
State: optimized geometry

POSCAR file:
```
CaAuBr2
1.0
4.354 0.000 0.000
0.000 5.409 0.000
-1.059 0.000 4.528
Ca Au Br
1 1 2
Direct
0.000 0.000 0.000
0.000 0.500 0.500
0.500 0.000 0.500
0.500 0.500 0.000
```

Values from the calculation:
Uncorrected formation energy (eV per atom): -0.87
Energy above the most stable polymorph in this dataset (eV/atom): 0.127
Theoretical density (Mg/m³): 6.18
SG: P2/m, No. 10